[1]
First-principles (SCAN) data for a PBEsol-optimized structure of PIrCl2, as listed in the Alexandria database.

Results
For the total energy, the calculation gives -100.735 eV for the cell shown. The value obtained for the relative energy among the computed polymorphs is 0.000 eV per atom. The symmetry is P3m1, No. 156.

Cell lengths 3.492, 3.492, 7.778 Å; angles 90.00, 90.00, 120.00 degrees
Fractional coordinates of all 4 atoms:
P  0.333  0.667  0.324
Ir  0.667  0.333  0.454
Cl  0.333  0.667  0.064
Cl  0.000  0.000  0.658

***

[2]
First-principles (SCAN) data for a PBEsol-optimized structure of Mg2FePb, as listed in the Alexandria database.

Results
For the total energy, the calculation gives -103.337 eV for the cell shown. The symmetry is P4/mmm, No. 123. The calculation puts the formation energy at 130 meV/atom.

Cell lengths 3.146, 3.146, 8.072 Å; angles 90.00, 90.00, 90.00 degrees
Fractional coordinates of all 4 atoms:
Fe  0.500  0.500  0.500
Mg  0.000  0.000  0.699
Mg  0.000  0.000  0.301
Pb  0.500  0.500  0.000

***

[3]
First-principles (SCAN) data for a PBEsol-optimized structure of Li3GeAs, as listed in the Alexandria database.

Results
For the total energy, the calculation gives -46.590 eV for the cell shown. The symmetry is Pm-3m, No. 221. The calculation puts the formation energy at -28 meV/atom.

Cell lengths 4.656, 4.656, 4.656 Å; angles 90.00, 90.00, 90.00 degrees
Fractional coordinates of all 5 atoms:
As  0.000  0.000  0.000
Ge  0.500  0.500  0.500
Li  0.000  0.500  0.000
Li  0.000  0.000  0.500
Li  0.500  0.000  0.000

***

[4]
First-principles (SCAN) data for a PBEsol-optimized structure of ScCuPb2, as listed in the Alexandria database.

Results
For the total energy, the calculation gives -181.072 eV for the cell shown. The value obtained for the relative energy among the computed polymorphs is 0.084 eV per atom. The symmetry is P4/mmm, No. 123. The calculation puts the formation energy at -18 meV/atom.

Cell lengths 3.529, 3.529, 6.884 Å; angles 90.00, 90.00, 90.00 degrees
Fractional coordinates of all 4 atoms:
Cu  0.500  0.500  0.500
Pb  0.000  0.000  0.726
Pb  0.000  0.000  0.274
Sc  0.500  0.500  0.000

***

Number 1: D(E_F) 0.00 states/eV/cell. Number 2: D(E_F) 2.93 states/eV/cell. Number 3: D(E_F) 2.69 states/eV/cell. Number 4: D(E_F) 2.78 states/eV/cell.